1.
Here is YMgTlNi after structural relaxation from OQMD. Energies are from PBE.

Unit cell a=4.905 b=4.905 c=4.905 alpha=60.00 beta=60.00 gamma=60.00
Atoms (fractional coordinates):
Mg 0.750 0.750 0.750
Ni 0.000 0.000 0.000
Tl 0.500 0.500 0.500
Y 0.250 0.250 0.250

Properties
uncorrected energy	-0.3062	Ry/atom
density	7.49	g/cm3
total magnetic moment	0.005	μB per atom



2.
Here is NaThSi after structural relaxation from OQMD. Energies are from PBE.

Unit cell a=4.871 b=4.871 c=4.871 alpha=60.00 beta=60.00 gamma=60.00
Atoms (fractional coordinates):
Na 0.250 0.250 0.250
Si 0.000 0.000 0.000
Th 0.750 0.750 0.750

Properties
uncorrected energy	-0.3479	Ry/atom
density	5.75	g/cm3
total magnetic moment	0.000	μB per atom